[1]
VASP calculation (PBE) on AcInSb2 after structural relaxation.

CIF file:
```
data_AcInSb2
_chemical_formula_sum 'Ac1 In1 Sb2'
_cell_length_a 4.318
_cell_length_b 4.318
_cell_length_c 6.681
_cell_angle_alpha 90.00
_cell_angle_beta 90.00
_cell_angle_gamma 90.00
_symmetry_space_group_name_H-M 'P 4/m m m'
_symmetry_Int_Tables_number 123
_symmetry_space_group_name_Hall '-P 4 2'
loop_
_atom_site_label
_atom_site_fract_x
_atom_site_fract_y
_atom_site_fract_z
Ac1 0.000 0.000 0.000
In1 0.000 0.000 0.500
Sb1 0.500 0.500 0.268
```

## Properties
**Energy**: -4.28 eV/atom
**Relative energy among the computed polymorphs**: 70 meV per atom



[2]
VASP calculation (PBE) on AcGe2Au2 after structural relaxation.

CIF file:
```
data_AcGe2Au2
_chemical_formula_sum 'Ac2 Ge4 Au4'
_cell_length_a 4.644
_cell_length_b 4.644
_cell_length_c 10.420
_cell_angle_alpha 90.00
_cell_angle_beta 90.00
_cell_angle_gamma 90.00
_symmetry_space_group_name_H-M 'I 4/m m m'
_symmetry_Int_Tables_number 139
_symmetry_space_group_name_Hall '-I 4 2'
loop_
_atom_site_label
_atom_site_fract_x
_atom_site_fract_y
_atom_site_fract_z
Ac1 0.000 0.000 0.000
Ge1 0.000 0.000 0.378
Au1 0.000 0.500 0.250
```

## Properties
**Energy**: -4.58 eV/atom
**Relative energy among the computed polymorphs**: 12 meV per atom
**Energy of formation from the pure elements**: -0.60 eV per atom



[3]
VASP calculation (PBE) on Ni2AsIr after structural relaxation.

CIF file:
```
data_Ni2AsIr
_chemical_formula_sum 'Ni2 As1 Ir1'
_cell_length_a 2.764
_cell_length_b 3.675
_cell_length_c 5.178
_cell_angle_alpha 90.00
_cell_angle_beta 96.08
_cell_angle_gamma 90.00
_symmetry_space_group_name_H-M 'P 1 2/m 1'
_symmetry_Int_Tables_number 10
loop_
_symmetry_equiv_pos_as_xyz
'x,y,z'
'-x,-y,-z'
'-x,y,-z'
'x,-y,z'
loop_
_atom_site_label
_atom_site_fract_x
_atom_site_fract_y
_atom_site_fract_z
Ni1 0.059 0.000 0.251
As1 0.500 0.500 0.500
Ir1 0.500 0.500 0.000
```

## Properties
**Energy**: -6.23 eV/atom
**Energy of formation from the pure elements**: 0.04 eV per atom



[4]
VASP calculation (PBE) on Tb3Nd3Ho after structural relaxation.

CIF file:
```
data_Tb3Nd3Ho
_chemical_formula_sum 'Tb6 Nd6 Ho2'
_cell_length_a 9.6871
_cell_length_b 9.6871
_cell_length_c 5.7817
_cell_angle_alpha 90.00
_cell_angle_beta 90.00
_cell_angle_gamma 120.00
_symmetry_space_group_name_H-M 'P 63/m'
_symmetry_Int_Tables_number 176
_symmetry_space_group_name_Hall '-P 6c'
loop_
_atom_site_label
_atom_site_fract_x
_atom_site_fract_y
_atom_site_fract_z
Tb1 0.0460 0.8101 0.2500
Nd1 0.0951 0.6210 0.7500
Ho1 0.3333 0.6667 0.2500
```

## Properties
**Energy**: -4.66 eV/atom
**Relative energy among the computed polymorphs**: 0 meV per atom
**Energy of formation from the pure elements**: 0.02 eV per atom



[5]
VASP calculation (PBE) on LaScTl2 after structural relaxation.

CIF file:
```
data_LaScTl2
_chemical_formula_sum 'La1 Sc1 Tl2'
_cell_length_a 3.777
_cell_length_b 4.910
_cell_length_c 6.473
_cell_angle_alpha 90.00
_cell_angle_beta 106.60
_cell_angle_gamma 90.00
_symmetry_space_group_name_H-M 'P 1 m 1'
_symmetry_Int_Tables_number 6
loop_
_symmetry_equiv_pos_as_xyz
'x,y,z'
'x,-y,z'
loop_
_atom_site_label
_atom_site_fract_x
_atom_site_fract_y
_atom_site_fract_z
La1 0.000 0.000 0.000
Sc1 0.709 0.500 0.410
Tl1 0.261 0.000 0.509
Tl2 0.422 0.500 0.842
```

## Properties
**Energy**: -4.23 eV/atom
**Energy of formation from the pure elements**: -0.23 eV per atom



[6]
VASP calculation (PBE) on ReSi2Pt after structural relaxation.

CIF file:
```
data_ReSi2Pt
_chemical_formula_sum 'Re1 Si2 Pt1'
_cell_length_a 4.221
_cell_length_b 2.980
_cell_length_c 4.926
_cell_angle_alpha 90.00
_cell_angle_beta 113.27
_cell_angle_gamma 90.00
_symmetry_space_group_name_H-M 'P 1 2/m 1'
_symmetry_Int_Tables_number 10
loop_
_symmetry_equiv_pos_as_xyz
'x,y,z'
'-x,-y,-z'
'-x,y,-z'
'x,-y,z'
loop_
_atom_site_label
_atom_site_fract_x
_atom_site_fract_y
_atom_site_fract_z
Re1 0.000 0.000 0.000
Si1 0.500 0.000 0.500
Si2 0.500 0.500 0.000
Pt1 0.000 0.500 0.500
```

## Properties
**Energy**: -7.53 eV/atom
**Relative energy among the computed polymorphs**: 153 meV per atom



[7]
VASP calculation (PBE) on PmPa3Sn12 after structural relaxation.

CIF file:
```
data_PmPa3Sn12
_chemical_formula_sum 'Pm1 Pa3 Sn12'
_cell_length_a 4.686
_cell_length_b 4.686
_cell_length_c 18.571
_cell_angle_alpha 90.00
_cell_angle_beta 90.00
_cell_angle_gamma 90.00
_symmetry_space_group_name_H-M 'P 4/m m m'
_symmetry_Int_Tables_number 123
_symmetry_space_group_name_Hall '-P 4 2'
loop_
_atom_site_label
_atom_site_fract_x
_atom_site_fract_y
_atom_site_fract_z
Pm1 0.000 0.000 0.000
Pa1 0.000 0.000 0.254
Pa2 0.000 0.000 0.500
Sn1 0.000 0.500 0.129
Sn2 0.000 0.500 0.377
Sn3 0.500 0.500 0.000
Sn4 0.500 0.500 0.252
Sn5 0.500 0.500 0.500
```

## Properties
**Energy**: -5.43 eV/atom
**Energy of formation from the pure elements**: -0.35 eV per atom



[8]
VASP calculation (PBE) on Co2ReTcH after structural relaxation.

CIF file:
```
data_Co2ReTcH
_chemical_formula_sum 'Co2 Re1 Tc1 H1'
_cell_length_a 3.682
_cell_length_b 3.682
_cell_length_c 3.852
_cell_angle_alpha 90.00
_cell_angle_beta 90.00
_cell_angle_gamma 90.00
_symmetry_space_group_name_H-M 'P 4/m m m'
_symmetry_Int_Tables_number 123
_symmetry_space_group_name_Hall '-P 4 2'
loop_
_atom_site_label
_atom_site_fract_x
_atom_site_fract_y
_atom_site_fract_z
Co1 0.000 0.500 0.000
Re1 0.000 0.000 0.500
Tc1 0.500 0.500 0.500
H1 0.500 0.500 0.000
```

## Properties
**Energy**: -8.02 eV/atom
**Relative energy among the computed polymorphs**: 0 meV per atom



[9]
VASP calculation (PBE) on NdPaRu2 after structural relaxation.

CIF file:
```
data_NdPaRu2
_chemical_formula_sum 'Nd1 Pa1 Ru2'
_cell_length_a 3.423
_cell_length_b 3.423
_cell_length_c 7.265
_cell_angle_alpha 90.00
_cell_angle_beta 90.00
_cell_angle_gamma 90.00
_symmetry_space_group_name_H-M 'P 4/m m m'
_symmetry_Int_Tables_number 123
_symmetry_space_group_name_Hall '-P 4 2'
loop_
_atom_site_label
_atom_site_fract_x
_atom_site_fract_y
_atom_site_fract_z
Nd1 0.000 0.000 0.000
Pa1 0.000 0.000 0.500
Ru1 0.500 0.500 0.298
```

## Properties
**Energy**: -8.59 eV/atom
**Energy of formation from the pure elements**: -0.39 eV per atom